No. 1
Computed, not measured: a PBEsol-optimized structure of Tl3RhF at the SCAN level of DFT.

## Properties
Space-group type: Pm-3m (221)
V, Å³/atom: 22.67
Magnetic moment, μB/f.u.: 0.7

Geometry as POSCAR:
```
Tl3RhF
1.0
-1.0591 -4.1438 2.2652
-1.0663 -2.0517 -4.2518
4.6006 -1.4295 -0.4640
Tl Rh F
3 1 1
Cartesian
2.3003 -0.7148 -0.2320
-0.5296 -2.0719 1.1326
-0.5332 -1.0258 -2.1259
1.2376 -3.8125 -1.2253
0.0000 0.0000 0.0000
```

No. 2
Computed, not measured: a PBEsol-optimized structure of RhWF3 at the SCAN level of DFT.

## Properties
Space-group type: Pm-3m (221)
V, Å³/atom: 14.36
Magnetic moment, μB/f.u.: 4.0

Geometry as POSCAR:
```
RhWF3
1.0
4.1568 0.0000 0.0000
0.0000 4.1568 0.0000
0.0000 0.0000 4.1568
F W Rh
3 1 1
Cartesian
2.0784 0.0000 0.0000
0.0000 0.0000 2.0784
0.0000 2.0784 0.0000
2.0784 2.0784 2.0784
0.0000 0.0000 0.0000
```

No. 3
Computed, not measured: a PBEsol-optimized structure of Rh3WF at the SCAN level of DFT.

## Properties
Space-group type: Pm-3m (221)
V, Å³/atom: 13.93
Magnetic moment, μB/f.u.: 0.0

Geometry as POSCAR:
```
Rh3WF
1.0
4.1149 0.0000 0.0000
0.0000 4.1149 0.0000
0.0000 0.0000 4.1149
Rh F W
3 1 1
Cartesian
2.0574 0.0000 0.0000
0.0000 0.0000 2.0574
0.0000 2.0574 0.0000
0.0000 0.0000 0.0000
2.0574 2.0574 2.0574
```

No. 4
Computed, not measured: a PBEsol-optimized structure of ZnRhF3 at the SCAN level of DFT.

## Properties
Space-group type: Pm-3m (221)
V, Å³/atom: 12.60
Magnetic moment, μB/f.u.: 2.1

Geometry as POSCAR:
```
ZnRhF3
1.0
-2.8637 2.4062 1.3566
-2.4321 -1.2698 -2.8816
-1.3097 -2.9032 2.3848
F Zn Rh
3 1 1
Cartesian
-0.6549 -1.4516 1.1924
-1.2160 -0.6349 -1.4408
-1.4318 1.2031 0.6783
0.0000 0.0000 0.0000
-3.3027 -0.8834 0.4299
```

No. 5
Computed, not measured: a PBEsol-optimized structure of Zr2RhF2 at the SCAN level of DFT.

## Properties
Space-group type: I4/mmm (139)
V, Å³/atom: 14.01
Magnetic moment, μB/f.u.: 0.0

Geometry as POSCAR:
```
Zr2RhF2
1.0
-1.8890 -2.2214 1.5183
2.3834 -2.2423 -0.3153
2.2147 4.0449 5.1142
F Zr Rh
2 2 1
Cartesian
0.2865 -0.2042 3.6170
2.4227 -0.2146 2.7002
0.8634 -1.7781 2.0321
1.8457 1.3592 4.2851
0.0000 0.0000 0.0000
```

No. 6
Computed, not measured: a PBEsol-optimized structure of ZrRhF2 at the SCAN level of DFT.

## Properties
Space-group type: Fm-3m (225)
V, Å³/atom: 12.45
Magnetic moment, μB/f.u.: 0.0

Geometry as POSCAR:
```
ZrRhF2
1.0
4.1295 0.0000 0.0000
2.0647 3.5762 0.0000
2.0647 1.1921 3.3717
F Rh Zr
2 1 1
Cartesian
6.1942 3.5762 2.5288
2.0647 1.1921 0.8429
4.1295 2.3841 1.6858
0.0000 0.0000 0.0000
```

No. 7
Computed, not measured: a PBEsol-optimized structure of RuF3 at the SCAN level of DFT.

## Properties
Space-group type: R-3c (167)
V, Å³/atom: 12.07
Magnetic moment, μB/f.u.: 1.0

Geometry as POSCAR:
```
RuF3
1.0
4.9410 0.0000 0.0000
2.4705 4.2791 0.0000
2.4705 1.4264 4.5682
Ru F
2 6
Cartesian
4.9410 2.8527 2.2841
0.0000 0.0000 0.0000
4.0893 4.2301 1.1420
4.1741 1.4264 1.1420
5.7928 1.4753 3.4261
5.7080 4.2791 3.4261
3.3223 2.8037 3.4261
6.5598 2.9017 1.1420
```

No. 8
Computed, not measured: a PBEsol-optimized structure of RuF5 at the SCAN level of DFT.

## Properties
Space-group type: P2_1/c (14)
V, Å³/atom: 14.18
Magnetic moment, μB/f.u.: 3.0

Geometry as POSCAR:
```
RuF5
1.0
5.5427 0.0000 0.0103
0.0000 9.9580 0.0000
-2.2724 0.0000 12.3299
F Ru
40 8
Cartesian
1.6508 5.6971 4.3918
-0.1921 1.0534 6.8319
-0.4192 9.2426 2.9641
-0.6973 6.8004 11.7359
0.9524 6.4791 9.2172
-0.9383 3.4385 7.8789
0.9442 3.9256 0.6670
1.3984 0.8758 4.0283
0.4534 3.2855 5.5899
2.7558 0.7181 1.7835
2.3119 0.8993 11.6617
-1.5554 5.6945 9.1291
-0.1778 5.8783 6.8435
3.0724 8.4175 10.6263
0.4389 8.1367 5.5710
3.6895 0.7154 9.3761
2.8314 1.8214 6.7693
2.3261 6.0324 11.6733
4.1943 1.6764 4.5272
2.3179 3.4790 3.1230
2.0886 8.4580 3.0523
1.8719 9.0822 8.3119
3.9676 3.1577 0.6043
3.9531 8.2645 0.5854
0.1979 1.5405 1.7140
0.9584 9.0587 0.6786
4.8257 4.2636 3.2112
0.5145 9.2400 10.5568
3.0081 5.8548 2.1470
0.2622 4.1032 10.1933
0.2122 6.6554 1.6481
3.4481 4.0797 5.4967
1.6195 4.2609 7.9484
3.4624 8.9046 5.5083
2.8169 6.6725 6.7504
1.1817 1.5000 9.2880
3.0581 3.3026 10.6921
4.2087 6.5195 4.4613
-0.6828 1.6935 11.7548
-0.9240 8.2816 7.8131
3.1923 4.9554 3.7134
1.2143 9.9345 2.4619
-2.2381 2.5173 12.3020
2.0560 0.0236 9.8784
4.3722 7.4963 6.2032
-1.1018 2.4617 6.1371
5.5084 7.4407 0.0382
0.0780 5.0026 8.6268
```

No. 9
Computed, not measured: a PBEsol-optimized structure of Sb2RuF at the SCAN level of DFT.

## Properties
Space-group type: I-42d (122)
V, Å³/atom: 23.18
Magnetic moment, μB/f.u.: 0.0

Geometry as POSCAR:
```
Sb2RuF
1.0
5.4064 0.0000 0.0000
0.0000 5.4064 0.0000
-2.7032 -2.7032 6.3447
Ru F Sb
2 2 4
Cartesian
0.0000 0.0000 0.0000
0.0000 2.7032 3.1724
2.7032 2.7032 0.0000
2.7032 0.0000 3.1724
4.0583 1.3516 1.5862
-1.3516 -1.3551 4.7585
1.3516 1.3551 4.7585
1.3481 4.0548 1.5862
```

No. 10
Computed, not measured: a PBEsol-optimized structure of SbRu3F at the SCAN level of DFT.

## Properties
Space-group type: Pm-3m (221)
V, Å³/atom: 14.65
Magnetic moment, μB/f.u.: 0.0

Geometry as POSCAR:
```
SbRu3F
1.0
-1.9949 3.2046 1.8044
-0.8079 -2.3844 3.3417
3.5878 1.2449 1.7557
Ru F Sb
3 1 1
Cartesian
-0.4040 -1.1922 1.6708
1.7939 0.6224 0.8779
-0.9974 1.6023 0.9022
0.0000 0.0000 0.0000
0.3925 1.0325 3.4509
```

No. 11
Computed, not measured: a PBEsol-optimized structure of Tc2SbRuF at the SCAN level of DFT.

## Properties
Space-group type: P4/mmm (123)
V, Å³/atom: 24.20
Magnetic moment, μB/f.u.: 7.8

Geometry as POSCAR:
```
Tc2SbRuF
1.0
-0.9854 -4.2897 -1.8870
4.0762 0.3486 -2.9211
2.7540 -2.2072 3.5796
Ru Tc F Sb
1 2 1 1
Cartesian
-0.4927 -2.1448 -0.9435
2.0381 0.1743 -1.4606
1.3770 -1.1036 1.7898
2.9224 -3.0742 -0.6143
0.0000 0.0000 0.0000
```

No. 12
Computed, not measured: a PBEsol-optimized structure of TiSbRuF2 at the SCAN level of DFT.

## Properties
Space-group type: P4/mmm (123)
V, Å³/atom: 15.57
Magnetic moment, μB/f.u.: 0.0

Geometry as POSCAR:
```
TiSbRuF2
1.0
-3.3568 1.2501 -1.2654
-1.7049 -1.4903 3.0503
0.7202 4.6328 2.6660
Ru F Ti Sb
1 2 1 1
Cartesian
0.3601 2.3164 1.3330
-0.8524 -0.7451 1.5252
-1.6784 0.6250 -0.6327
0.0000 0.0000 0.0000
-2.1707 2.1963 2.2254
```

Number 1: raw formation energy -0.15 eV per formula unit. Number 2: raw formation energy 0.74 eV per formula unit. Number 3: raw formation energy 4.41 eV per formula unit. Number 4: raw formation energy -6.54 eV per formula unit. Number 5: raw formation energy -11.33 eV per formula unit. Number 6: raw formation energy -4.76 eV per formula unit. Number 7: raw formation energy -7.21 eV per formula unit. Number 8: raw formation energy -10.99 eV per formula unit. Number 9: raw formation energy -0.99 eV per formula unit. Number 10: raw formation energy 4.53 eV per formula unit. Number 11: raw formation energy 8.72 eV per formula unit. Number 12: raw formation energy -7.98 eV per formula unit.